Density functional theory data (PBE) for crystalline YbP5 at its relaxed geometry.

Cell: 16.8246 5.4361 5.4555 Å, 77.32 90.00 90.00°
Element x y z (fractional)
P 0.6371 0.2158 0.2478
P 0.1364 0.7753 0.3523
P 0.8502 0.8384 0.3298
P 0.6400 0.8187 0.2490
P 0.4392 0.7140 0.4132
P 0.2600 0.8624 0.2218
P 0.6364 0.2247 0.6477
P 0.9392 0.2860 0.5868
P 0.1262 0.3670 0.3539
P 0.1400 0.1813 0.7510
P 0.9114 0.6556 0.6711
P 0.3237 0.7913 0.5840
P 0.1371 0.7842 0.7522
P 0.7600 0.1376 0.7782
P 0.8237 0.2087 0.4160
P 0.4114 0.3444 0.3289
P 0.3502 0.1616 0.6702
P 0.6262 0.6330 0.6461
P 0.5028 0.6558 0.7750
P 0.0028 0.3442 0.2250
Yb 0.4955 0.1054 0.9807
Yb 0.2634 0.4070 0.0137
Yb 0.7634 0.5930 0.9863
Yb 0.9955 0.8946 0.0193

Output
Symmetry ... P2_1
Uncorrected energy ... -5.182 eV per atom


Density functional theory data (PBE) for crystalline YbP5 at its relaxed geometry.

Cell: 9.6042 4.6979 5.4288 Å, 74.27 90.00 90.00°
Element x y z (fractional)
P 0.5562 0.6999 0.4051
P 0.9438 0.6999 0.4051
P 0.0930 0.3721 0.9755
P 0.2500 0.7279 0.9249
P 0.9070 0.6279 0.0245
P 0.4070 0.3721 0.9755
P 0.0562 0.3001 0.5949
P 0.5930 0.6279 0.0245
P 0.7500 0.2721 0.0751
P 0.4438 0.3001 0.5949
Yb 0.2500 0.9404 0.3787
Yb 0.7500 0.0596 0.6213

Output
Symmetry ... P2_1/m
Uncorrected energy ... -5.181 eV per atom


Density functional theory data (PBE) for crystalline Yb3P at its relaxed geometry.

Cell: 4.6306 4.6306 4.6306 Å, 90.00 90.00 90.00°
Element x y z (fractional)
Yb 0.0000 0.5000 0.5000
Yb 0.5000 0.5000 0.0000
Yb 0.5000 0.0000 0.5000
P 0.0000 0.0000 0.0000

Output
Symmetry ... Pm-3m
Distance to the lowest polymorph of the same formula ... 0.0 kJ/mol of atoms